[1]
CaCdW2 | GGA-PBE | relaxed

```
4
Lattice="5.2195 0.0000 0.0000 0.0000 2.7968 -0.0031 0.0000 0.5944 5.3077" Properties=species:S:1:pos:R:3 pbc="T T T"
Cd 2.6098 2.5434 3.9785
W 0.0000 2.6082 0.0475
W 0.0000 1.8842 2.6017
Ca 2.6098 0.8478 1.3262
```

Properties
D(E_F)	3.6	states/eV/cell
SG	No. 10
energy of formation from the pure elements	0.753	eV/atom
total DFT energy (no corrections)	-6.453	eV per atom

[2]
CaCdW2 | GGA-PBE | relaxed

```
4
Lattice="-0.9096 -5.5293 -9.0283 -2.3221 -7.3895 -7.2742 -3.7577 -5.1582 -8.4961" Properties=species:S:1:pos:R:3 pbc="T T T"
W -6.9657 -18.0157 -24.7144
Cd -5.2050 -13.4619 -18.4673
W -1.7825 -4.6100 -6.3242
Ca -3.5204 -9.1050 -12.4905
```

Properties
D(E_F)	2.9	states/eV/cell
SG	No. 160
energy of formation from the pure elements	0.717	eV/atom
total DFT energy (no corrections)	-6.489	eV per atom

[3]
CaCdW2 | GGA-PBE | relaxed

```
4
Lattice="-8.5643 2.6214 -5.5309 -7.0970 1.2625 -7.6713 -8.7630 -0.2863 -5.8256" Properties=species:S:1:pos:R:3 pbc="T T T"
W -12.1246 1.7859 -9.4457
Cd -18.3183 2.6982 -14.2708
Ca -6.1061 0.8994 -4.7569
W -0.0876 0.0129 -0.0682
```

Properties
D(E_F)	3.4	states/eV/cell
SG	No. 166
energy of formation from the pure elements	0.917	eV/atom
total DFT energy (no corrections)	-6.289	eV per atom

[4]
CaCdW3 | GGA-PBE | relaxed

```
5
Lattice="4.9645 0.0000 0.0000 0.0000 4.9645 0.0000 0.0000 0.0000 4.9645" Properties=species:S:1:pos:R:3 pbc="T T T"
W 0.0000 2.4823 0.0000
Ca 2.4823 2.4823 2.4823
W 0.0000 0.0000 2.4823
W 2.4823 0.0000 0.0000
Cd 0.0000 0.0000 0.0000
```

Properties
D(E_F)	10.7	states/eV/cell
SG	No. 221
energy of formation from the pure elements	2.636	eV/atom
total DFT energy (no corrections)	-5.719	eV per atom

[5]
CaCdW2 | GGA-PBE | relaxed

```
4
Lattice="5.4494 0.0079 0.0298 -2.5038 5.3275 -0.0164 0.4419 0.7038 2.6459" Properties=species:S:1:pos:R:3 pbc="T T T"
Cd 1.4728 2.6677 0.0067
W 2.9457 0.3558 1.3378
W 0.0000 0.0000 0.0000
Ca -1.0309 3.0156 1.3147
```

Properties
D(E_F)	3.2	states/eV/cell
SG	No. 12
energy of formation from the pure elements	0.781	eV/atom
total DFT energy (no corrections)	-6.424	eV per atom

[6]
CaY2Cd | GGA-PBE | relaxed

```
4
Lattice="-0.1383 -3.5558 -3.1215 2.7166 1.5396 -1.8741 7.4675 -2.0828 2.0417" Properties=species:S:1:pos:R:3 pbc="T T T"
Y 2.3808 -1.8400 -1.5985
Y 7.4115 -2.0410 1.9967
Cd 7.6486 -2.2469 -1.3685
Ca 5.1646 -0.3255 0.1419
```

Properties
D(E_F)	5.3	states/eV/cell
SG	No. 25
energy of formation from the pure elements	-0.057	eV/atom
total DFT energy (no corrections)	-4.019	eV per atom

> Among the records above, which one has the highest energy of formation from the pure elements?

CaCdW3

> Which of these has the lowest D(E_F)?

number 2

> The highest total DFT energy (no corrections) belongs to which entry?

CaY2Cd